## MnIrS (PBE)

Data for a relaxed MnIrS crystal.

The structure belongs to space group P2_1/m (No. 11); the cell edges are 3.634, 3.795 and 8.182 Å and the angles 90.00°, 102.18° and 90.00°. Symmetry generates all atoms from Mn at (0.061, 0.250, 0.129), Ir at (0.443, 0.250, 0.881) and S at (0.354, 0.750, 0.692).

The polymorph energy (0 for the lowest one) comes out at 0.00 kcal/mol of atoms. As for the final energy: -0.2816 Ha/atom. As for the crystal system: monoclinic.

***

## Mn3IrS (PBE)

Data for a relaxed Mn3IrS crystal.

The structure belongs to space group Pm-3m (No. 221); the cell edges are 4.042, 4.042 and 4.042 Å and the angles 90.00°, 90.00° and 90.00°. Symmetry generates all atoms from Mn at (0.000, 0.000, 0.500), Ir at (0.500, 0.500, 0.500) and S at (0.000, 0.000, 0.000).

The polymorph energy (0 for the lowest one) comes out at 0.00 kcal/mol of atoms. As for the final energy: -0.2783 Ha/atom. As for the crystal system: cubic.

***

## MnIrS (PBE)

Data for a relaxed MnIrS crystal.

The structure belongs to space group P4mm (No. 99); the cell edges are 2.758, 2.758 and 5.315 Å and the angles 90.00°, 90.00° and 90.00°. Symmetry generates all atoms from Mn at (0.000, 0.000, 0.000), Ir at (0.500, 0.500, 0.323) and S at (0.500, 0.500, 0.761).

The polymorph energy (0 for the lowest one) comes out at 5.42 kcal/mol of atoms. As for the final energy: -0.2729 Ha/atom. As for the crystal system: tetragonal.

***

Number 1: volume 18.4 Å³ per atom, size of the total moment 5.89 Bohr magnetons per cell, formation energy from raw total energies -0.8 eV per formula unit. Number 2: volume 13.2 Å³ per atom, size of the total moment 0.00 Bohr magnetons per cell, formation energy from raw total energies 2.6 eV per formula unit. Number 3: volume 13.5 Å³ per atom, size of the total moment 0.00 Bohr magnetons per cell, formation energy from raw total energies -0.1 eV per formula unit.